(1)
VASP calculation (GGA-PBE) on crystalline Ca2ThRh9 at its relaxed geometry.

```
Ca2ThRh9
1.0
0.9271 -2.3996 4.6217
0.4338 -5.2676 0.2048
9.1380 -1.8950 0.2099
Th Ca Rh
1 2 9
direct
0.0000 0.0000 0.0000
0.1416 0.1416 0.5751
0.8584 0.8584 0.4249
0.5814 0.5814 0.7539
0.9167 0.4186 0.2461
0.4186 0.9167 0.2461
0.0833 0.5814 0.7539
0.5000 0.5000 0.5000
0.6671 0.6671 0.9988
0.3329 0.3329 0.0012
0.4186 0.4186 0.2461
0.5814 0.0833 0.7539
```

Total moment: 0.00 μB/cell
Energy relative to the elements: -5.191 eV per formula unit
N(E_F): 13.896 states/eV/cell

---

(2)
VASP calculation (GGA-PBE) on crystalline Lu2ZrS at its relaxed geometry.

```
Lu2ZrS
1.0
-2.6616 2.0184 0.8595
-2.4122 0.7643 -2.3439
-6.7133 -6.8198 2.1474
Lu Zr S
2 1 1
direct
0.8926 0.8926 0.3223
0.1074 0.1074 0.6777
0.0000 0.0000 0.0000
0.5000 0.5000 0.5000
```

Total moment: 0.43 μB/cell
N(E_F): 3.658 states/eV/cell
Formation energy (no corrections): -0.5258 eV/atom

---

(3)
VASP calculation (GGA-PBE) on crystalline Dy5Tm2Sc4 at its relaxed geometry.

```
Dy5Tm2Sc4
1.0
6.6230 0.0000 0.0000
3.3115 5.8231 -0.4843
3.3115 0.3730 8.3143
Sc Dy Tm
4 5 2
direct
0.7043 0.0709 0.5204
0.2733 0.3179 0.1354
0.2957 0.9291 0.4796
0.7267 0.6821 0.8646
0.7779 0.1509 0.8332
0.2380 0.1509 0.8332
0.7620 0.8491 0.1668
0.0000 0.5000 0.5000
0.2221 0.8491 0.1668
0.2986 0.6158 0.7870
0.7014 0.3842 0.2130
```

Total moment: 0.00 μB/cell
ΔE to the lowest computed polymorph: 0.0947 eV/atom
Energy relative to the elements: 2.144 eV per formula unit
N(E_F): 16.592 states/eV/cell